Computed, not measured: a geometry-optimized LaTa structure at the PBE-GGA level of DFT.

The formation energy comes out at 569.1 meV per atom. The excess energy over the best structure of this formula in the dataset is 0.58 eV per formula unit.

It has space group I4_1/amd (No. 141, origin choice 2), with a = 5.500 Å, b = 5.500 Å, c = 6.366 Å, α = 90.00°, β = 90.00° and γ = 90.00°. Symmetry generates all atoms from La at (0.000, 0.250, 0.375) and Ta at (0.000, 0.250, 0.875).

Computed, not measured: a geometry-optimized Th3Zn2Cu9 structure at the PBE-GGA level of DFT.

The formation energy comes out at -178.2 meV per atom.

It has space group Immm (No. 71), with a = 4.279 Å, b = 8.754 Å, c = 12.785 Å, α = 90.00°, β = 90.00° and γ = 90.00°. Symmetry generates all atoms from Th at (0.000, 0.000, 0.000), Th at (0.000, 0.000, 0.295), Zn at (0.000, 0.194, 0.500), Cu at (0.000, 0.283, 0.129), Cu at (0.000, 0.356, 0.337) and Cu at (0.000, 0.500, 0.000).

Computed, not measured: a geometry-optimized ZnHg2Au structure at the PBE-GGA level of DFT.

The formation energy comes out at 89.7 meV per atom.

It has space group P4/mmm (No. 123), with a = 3.819 Å, b = 3.819 Å, c = 5.630 Å, α = 90.00°, β = 90.00° and γ = 90.00°. Symmetry generates all atoms from Zn at (0.000, 0.000, 0.000), Hg at (0.500, 0.500, 0.249) and Au at (0.000, 0.000, 0.500).

Computed, not measured: a geometry-optimized KSrIn structure at the PBE-GGA level of DFT.

The formation energy comes out at -124.0 meV per atom. The excess energy over the best structure of this formula in the dataset is 0.00 eV per formula unit.

It has space group I4mm (No. 107), with a = 4.246 Å, b = 4.246 Å, c = 14.958 Å, α = 90.00°, β = 90.00° and γ = 90.00°. Symmetry generates all atoms from K at (0.000, 0.000, 0.000), Sr at (0.000, 0.000, 0.732) and In at (0.000, 0.000, 0.340).

Computed, not measured: a geometry-optimized HfMg2Ag structure at the PBE-GGA level of DFT.

The formation energy comes out at 203.9 meV per atom. The excess energy over the best structure of this formula in the dataset is 0.94 eV per formula unit.

It has space group Fm-3m (No. 225), with a = 6.840 Å, b = 6.840 Å, c = 6.840 Å, α = 90.00°, β = 90.00° and γ = 90.00°. Symmetry generates all atoms from Hf at (0.000, 0.000, 0.000), Mg at (0.250, 0.250, 0.250) and Ag at (0.000, 0.000, 0.500).

Computed, not measured: a geometry-optimized TlAgPdI5 structure at the PBE-GGA level of DFT.

For the total energy, the calculation gives -2.54 eV per atom.

It has space group C2/c (No. 15), with a = 9.875 Å, b = 12.820 Å, c = 11.092 Å, α = 90.00°, β = 113.89° and γ = 90.00°. Symmetry generates all atoms from Tl at (0.000, 0.063, 0.250), Ag at (0.000, 0.472, 0.250), Pd at (0.250, 0.250, 0.000), I at (0.000, 0.211, 0.750), I at (0.048, 0.300, 0.100) and I at (0.233, 0.048, 0.064).

Computed, not measured: a geometry-optimized HgAsAu structure at the PBE-GGA level of DFT.

The formation energy comes out at 257.5 meV per atom. The excess energy over the best structure of this formula in the dataset is 0.46 eV per formula unit.

It has space group I4mm (No. 107), with a = 3.110 Å, b = 3.110 Å, c = 12.834 Å, α = 90.00°, β = 90.00° and γ = 90.00°. Symmetry generates all atoms from Hg at (0.000, 0.000, 0.000), As at (0.000, 0.000, 0.312) and Au at (0.000, 0.000, 0.673).

Computed, not measured: a geometry-optimized Tc structure at the PBE-GGA level of DFT.

The formation energy comes out at 82.9 meV per atom. The excess energy over the best structure of this formula in the dataset is 0.08 eV per formula unit.

It has space group P6/mmm (No. 191), with a = 4.3292 Å, b = 4.3292 Å, c = 2.7217 Å, α = 90.00°, β = 90.00° and γ = 120.00°. Symmetry generates all atoms from Tc at (0.0000, 0.0000, 0.0000) and Tc at (0.3333, 0.6667, 0.5000).

Computed, not measured: a geometry-optimized TcSn2Pb structure at the PBE-GGA level of DFT.

The formation energy comes out at 155.9 meV per atom.

It has space group R-3m (No. 166, hexagonal axes), with a = 3.3258 Å, b = 3.3258 Å, c = 30.8404 Å, α = 90.00°, β = 90.00° and γ = 120.00°. Symmetry generates all atoms from Tc at (0.0000, 0.0000, 0.0000), Sn at (0.0000, 0.0000, 0.3972) and Pb at (0.0000, 0.0000, 0.5000).

Computed, not measured: a geometry-optimized CuI4 structure at the PBE-GGA level of DFT.

The excess energy over the best structure of this formula in the dataset is 0.85 eV per formula unit.

It has space group Pm-3m (No. 221), with a = 5.450 Å, b = 5.450 Å, c = 5.450 Å, α = 90.00°, β = 90.00° and γ = 90.00°. Symmetry generates all atoms from Cu at (0.000, 0.000, 0.000), I at (0.000, 0.000, 0.500) and I at (0.500, 0.500, 0.500).

Computed, not measured: a geometry-optimized AcLa4Nd7 structure at the PBE-GGA level of DFT.

The formation energy comes out at 21.4 meV per atom. The excess energy over the best structure of this formula in the dataset is 0.00 eV per formula unit.

It has space group P-1 (No. 2), with a = 6.510 Å, b = 7.487 Å, c = 9.327 Å, α = 89.94°, β = 76.53° and γ = 89.81°. Symmetry generates all atoms from Ac at (0.000, 0.000, 0.000), La at (0.219, 0.502, 0.331), La at (0.282, 0.252, 0.665), Nd at (0.000, 0.500, 0.000), Nd at (0.224, 0.001, 0.334), Nd at (0.279, 0.747, 0.669) and Nd at (0.500, 0.253, 0.001).

Computed, not measured: a geometry-optimized NaNi2Ir structure at the PBE-GGA level of DFT.

The formation energy comes out at 811.7 meV per atom. The excess energy over the best structure of this formula in the dataset is 1.36 eV per formula unit.

It has space group I-42d (No. 122), with a = 4.508 Å, b = 4.508 Å, c = 16.066 Å, α = 90.00°, β = 90.00° and γ = 90.00°. Symmetry generates all atoms from Na at (0.000, 0.000, 0.000), Ni at (0.070, 0.250, 0.625) and Ir at (0.000, 0.000, 0.500).

Computed, not measured: a geometry-optimized Sc2AgPt structure at the PBE-GGA level of DFT.

The formation energy comes out at 79.5 meV per atom.

It has space group Immm (No. 71), with a = 2.969 Å, b = 5.160 Å, c = 10.764 Å, α = 90.00°, β = 90.00° and γ = 90.00°. Symmetry generates all atoms from Sc at (0.000, 0.000, 0.235), Ag at (0.000, 0.000, 0.500) and Pt at (0.000, 0.000, 0.000).

Computed, not measured: a geometry-optimized Pm4TlSbTe2 structure at the PBE-GGA level of DFT.

For the total energy, the calculation gives -5.08 eV per atom.

It has space group P2/m (No. 10), with a = 7.818 Å, b = 4.418 Å, c = 7.823 Å, α = 90.00°, β = 108.72° and γ = 90.00°. Symmetry generates all atoms from Pm at (0.248, 0.000, 0.241), Pm at (0.250, 0.500, 0.754), Tl at (0.500, 0.000, 0.000), Sb at (0.000, 0.500, 0.000), Te at (0.000, 0.000, 0.500) and Te at (0.500, 0.500, 0.500).